## La2TbZn6 (PBE)

Data for La2TbZn6 after structural relaxation.

Properties
Calculated volume, Å³/cell: 199.1
Formation energy, meV per atom: -353.5

Cell: 7.9713 7.9713 3.6189 Å, 90.00 90.00 120.00°
Space group P6/mmm (No. 191)
Unique sites:
La (0.3333, 0.6667, 0.0000) x2
Tb (0.0000, 0.0000, 0.0000) x1
Zn (0.0000, 0.3272, 0.5000) x6